16
Lattice="3.637 2.100 6.117 -3.637 2.100 6.117 0.000 -4.200 6.117" Properties=species:S:1:pos:R:3 comment="Ac4Ce3ZrN8 (PBE, optimized geometry)" total_energy_ev_per_atom=-8.118 magmom_total_mub_per_atom=0.0000 sg="No. 166" pbc="T T T"
Ac 0.000 0.000 0.000
Ac -1.819 -1.050 6.117
Ac -1.819 1.050 12.233
Ac 0.000 2.100 6.117
Ce -3.637 0.000 9.175
Ce -1.819 1.050 3.058
Ce 1.819 1.050 3.058
Zr 0.000 0.000 9.175
N 0.000 0.000 4.341
N -1.736 -1.002 10.446
N 0.000 -2.005 7.904
N -1.736 1.002 7.904
N 1.736 -1.002 10.446
N 0.000 2.005 10.446
N 1.736 1.002 7.904
N 0.000 0.000 14.009